Record 1
# Er2PtPb PBE relaxed
data_Er2PtPb
_chemical_formula_sum 'Er2 Pt1 Pb1'
_symmetry_space_group_name_H-M 'P 1'
_symmetry_Int_Tables_number 1
_symmetry_space_group_name_Hall 'P 1'
_cell_length_a 3.496
_cell_length_b 3.496
_cell_length_c 8.039
_cell_angle_alpha 90.00
_cell_angle_beta 90.00
_cell_angle_gamma 90.00
loop_
_atom_site_label
_atom_site_fract_x
_atom_site_fract_y
_atom_site_fract_z
Pb1 0.500 0.500 0.500
Pt1 0.500 0.500 0.000
Er1 0.000 0.000 0.793
Er2 0.000 0.000 0.207
# **Formation energy from the elements**: -853 meV per atom
# **Size of the total moment**: 0.000 μB/f.u.

Record 2
# LiHgBr4 PBE relaxed
data_LiHgBr4
_chemical_formula_sum 'Li1 Hg1 Br4'
_symmetry_space_group_name_H-M 'P 1'
_symmetry_Int_Tables_number 1
_symmetry_space_group_name_Hall 'P 1'
_cell_length_a 6.435
_cell_length_b 6.435
_cell_length_c 6.435
_cell_angle_alpha 60.00
_cell_angle_beta 60.00
_cell_angle_gamma 60.00
loop_
_atom_site_label
_atom_site_fract_x
_atom_site_fract_y
_atom_site_fract_z
Li1 0.000 0.000 0.000
Hg1 0.750 0.750 0.750
Br1 0.375 0.874 0.375
Br2 0.874 0.375 0.375
Br3 0.375 0.375 0.874
Br4 0.375 0.375 0.375
# **Size of the total moment**: 0.928 μB/f.u.
# **Uncorrected formation energy**: 0.057 eV/atom
# **Energy above the most stable polymorph in this dataset**: 713.3 meV/atom

Record 3
# La8Pr4Sm PBE relaxed
data_La8Pr4Sm
_chemical_formula_sum 'La8 Pr4 Sm1'
_symmetry_space_group_name_H-M 'P 1'
_symmetry_Int_Tables_number 1
_symmetry_space_group_name_Hall 'P 1'
_cell_length_a 11.985
_cell_length_b 11.985
_cell_length_c 7.990
_cell_angle_alpha 90.00
_cell_angle_beta 138.59
_cell_angle_gamma 120.00
loop_
_atom_site_label
_atom_site_fract_x
_atom_site_fract_y
_atom_site_fract_z
La1 0.521 0.760 0.281
La2 0.479 0.240 0.719
La3 0.335 0.168 0.008
La4 0.159 0.327 0.992
La5 0.665 0.832 0.992
La6 0.159 0.832 0.992
La7 0.841 0.168 0.008
La8 0.841 0.673 0.008
Pr1 0.000 0.000 0.000
Pr2 0.000 0.500 0.000
Pr3 0.500 0.500 0.000
Pr4 0.500 0.000 0.000
Sm1 0.000 0.500 0.500
# **Formation energy from the elements**: 340 meV per atom
# **Size of the total moment**: 0.000 μB/f.u.

Record 4
# TaTcS PBE relaxed
data_TaTcS
_chemical_formula_sum 'Ta2 Tc2 S2'
_symmetry_space_group_name_H-M 'P 1'
_symmetry_Int_Tables_number 1
_symmetry_space_group_name_Hall 'P 1'
_cell_length_a 2.984
_cell_length_b 2.984
_cell_length_c 10.170
_cell_angle_alpha 90.00
_cell_angle_beta 90.00
_cell_angle_gamma 90.00
loop_
_atom_site_label
_atom_site_fract_x
_atom_site_fract_y
_atom_site_fract_z
Ta1 0.000 0.500 0.616
Ta2 0.500 0.000 0.384
S1 0.500 0.000 0.750
S2 0.000 0.500 0.250
Tc1 0.000 0.500 0.920
Tc2 0.500 0.000 0.080
# **Size of the total moment**: 0.000 μB/f.u.
# **Uncorrected formation energy**: -0.228 eV/atom

Record 5
# RbBeF3 PBE relaxed
data_RbBeF3
_chemical_formula_sum 'Rb1 Be1 F3'
_symmetry_space_group_name_H-M 'P 1'
_symmetry_Int_Tables_number 1
_symmetry_space_group_name_Hall 'P 1'
_cell_length_a 3.856
_cell_length_b 3.856
_cell_length_c 3.856
_cell_angle_alpha 90.00
_cell_angle_beta 90.00
_cell_angle_gamma 90.00
loop_
_atom_site_label
_atom_site_fract_x
_atom_site_fract_y
_atom_site_fract_z
Be1 0.000 0.000 0.000
Rb1 0.500 0.500 0.500
F1 0.000 0.500 0.000
F2 0.000 0.000 0.500
F3 0.500 0.000 0.000
# **Size of the total moment**: 0.000 μB/f.u.
# **Uncorrected formation energy**: -2.695 eV/atom

Record 6
# ZnIn2Se PBE relaxed
data_ZnIn2Se
_chemical_formula_sum 'Zn1 In2 Se1'
_symmetry_space_group_name_H-M 'P 1'
_symmetry_Int_Tables_number 1
_symmetry_space_group_name_Hall 'P 1'
_cell_length_a 6.150
_cell_length_b 6.150
_cell_length_c 4.868
_cell_angle_alpha 66.74
_cell_angle_beta 66.74
_cell_angle_gamma 34.95
loop_
_atom_site_label
_atom_site_fract_x
_atom_site_fract_y
_atom_site_fract_z
In1 0.962 0.962 0.039
In2 0.756 0.756 0.744
Se1 0.555 0.555 0.444
Zn1 0.228 0.228 0.273
# **Size of the total moment**: 0.000 μB/f.u.
# **Uncorrected formation energy**: -0.085 eV/atom
# **Energy above the most stable polymorph in this dataset**: 86.1 meV/atom

no.,ρ (g cm⁻³),V (Å³ per cell)
1,12.452,98.3
2,4.645,188.5
3,6.097,497.1
4,11.404,90.6
5,4.388,57.3
6,6.468,96.0